Computed, not measured: crystalline KAlIn3 at its relaxed geometry at the PBE-GGA level of DFT.

```
KAlIn3
1.0
5.496 0.000 0.000
0.000 5.496 0.000
0.000 0.000 5.496
K Al In
1 1 3
direct
0.000 0.000 0.000
0.500 0.500 0.500
0.000 0.500 0.500
0.500 0.000 0.500
0.500 0.500 0.000
```

Calculated values
Polymorph energy (0 for the lowest one)   0.000 eV per atom
Formation energy from the elements   0.143 eV/atom
Symmetry   Pm-3m, No. 221
VASP energy   -2.47 eV/atom